# ZrSc2Cr (PBE-GGA, optimized geometry)
# Energy relative to the elements = 0.234 eV per atom
# Space group = No. 10
# Polymorph energy (0 for the lowest one) = 79.0 meV per atom
data_ZrSc2Cr
_chemical_formula_sum 'Zr1 Sc2 Cr1'
_cell_length_a 3.1485
_cell_length_b 4.6205
_cell_length_c 5.9590
_cell_angle_alpha 90.00
_cell_angle_beta 103.42
_cell_angle_gamma 90.00
_space_group_name_H-M_alt 'P 1'
_space_group_IT_number 1
loop_
_space_group_symop_operation_xyz
'x,y,z'
loop_
_atom_site_label
_atom_site_fract_x
_atom_site_fract_y
_atom_site_fract_z
Zr1 0.0000 0.0000 0.0000
Sc1 0.4072 0.5000 0.7363
Sc2 0.5928 0.5000 0.2637
Cr1 0.0000 0.0000 0.5000


# Sr3LiCd (PBE-GGA, optimized geometry)
# Energy relative to the elements = 0.079 eV per atom
# Space group = No. 221
# Polymorph energy (0 for the lowest one) = 207.6 meV per atom
data_Sr3LiCd
_chemical_formula_sum 'Sr3 Li1 Cd1'
_cell_length_a 6.3579
_cell_length_b 6.3579
_cell_length_c 6.3579
_cell_angle_alpha 90.00
_cell_angle_beta 90.00
_cell_angle_gamma 90.00
_space_group_name_H-M_alt 'P 1'
_space_group_IT_number 1
loop_
_space_group_symop_operation_xyz
'x,y,z'
loop_
_atom_site_label
_atom_site_fract_x
_atom_site_fract_y
_atom_site_fract_z
Sr1 0.0000 0.0000 0.5000
Sr2 0.0000 0.5000 0.0000
Sr3 0.5000 0.0000 0.0000
Li1 0.5000 0.5000 0.5000
Cd1 0.0000 0.0000 0.0000


# BeSe3 (PBE-GGA, optimized geometry)
# Space group = No. 25
# Polymorph energy (0 for the lowest one) = 0.0 meV per atom
# Formation energy without anion corrections = -0.060 eV per atom
data_BeSe3
_chemical_formula_sum 'Be1 Se3'
_cell_length_a 3.7496
_cell_length_b 3.8547
_cell_length_c 7.1096
_cell_angle_alpha 90.00
_cell_angle_beta 90.00
_cell_angle_gamma 90.00
_space_group_name_H-M_alt 'P 1'
_space_group_IT_number 1
loop_
_space_group_symop_operation_xyz
'x,y,z'
loop_
_atom_site_label
_atom_site_fract_x
_atom_site_fract_y
_atom_site_fract_z
Be1 0.0000 0.0000 0.0000
Se1 0.0000 0.5000 0.8187
Se2 0.5000 0.0000 0.1519
Se3 0.5000 0.5000 0.5973


# LiSiOsRh2 (PBE-GGA, optimized geometry)
# Space group = No. 123
# Polymorph energy (0 for the lowest one) = 301.5 meV per atom
# Formation energy without anion corrections = 0.796 eV per atom
data_LiSiOsRh2
_chemical_formula_sum 'Li1 Si1 Os1 Rh2'
_cell_length_a 4.3414
_cell_length_b 4.3414
_cell_length_c 4.2606
_cell_angle_alpha 90.00
_cell_angle_beta 90.00
_cell_angle_gamma 90.00
_space_group_name_H-M_alt 'P 1'
_space_group_IT_number 1
loop_
_space_group_symop_operation_xyz
'x,y,z'
loop_
_atom_site_label
_atom_site_fract_x
_atom_site_fract_y
_atom_site_fract_z
Li1 0.0000 0.0000 0.0000
Si1 0.0000 0.0000 0.5000
Os1 0.5000 0.5000 0.0000
Rh1 0.0000 0.5000 0.5000
Rh2 0.5000 0.0000 0.5000


# KSr2Rh (PBE-GGA, optimized geometry)
# Energy relative to the elements = 0.134 eV per atom
# Space group = No. 122
# Polymorph energy (0 for the lowest one) = 209.4 meV per atom
data_KSr2Rh
_chemical_formula_sum 'K2 Sr4 Rh2'
_cell_length_a 7.7363
_cell_length_b 7.7363
_cell_length_c 7.7363
_cell_angle_alpha 103.62
_cell_angle_beta 103.62
_cell_angle_gamma 121.95
_space_group_name_H-M_alt 'P 1'
_space_group_IT_number 1
loop_
_space_group_symop_operation_xyz
'x,y,z'
loop_
_atom_site_label
_atom_site_fract_x
_atom_site_fract_y
_atom_site_fract_z
K1 0.0000 0.0000 0.0000
K2 0.7500 0.2500 0.5000
Sr1 0.2412 0.1250 0.6162
Sr2 0.3750 0.7588 0.8838
Sr3 0.5088 0.6250 0.3838
Sr4 0.8750 0.4912 0.1162
Rh1 0.2500 0.7500 0.5000
Rh2 0.5000 0.5000 0.0000


# Cs2MgSiTe4 (PBE-GGA, optimized geometry)
# Space group = No. 70
# Formation energy without anion corrections = -0.749 eV per atom
data_Cs2MgSiTe4
_chemical_formula_sum 'Cs4 Mg2 Si2 Te8'
_cell_length_a 15.8845
_cell_length_b 14.2886
_cell_length_c 8.4103
_cell_angle_alpha 84.61
_cell_angle_beta 63.58
_cell_angle_gamma 31.81
_space_group_name_H-M_alt 'P 1'
_space_group_IT_number 1
loop_
_space_group_symop_operation_xyz
'x,y,z'
loop_
_atom_site_label
_atom_site_fract_x
_atom_site_fract_y
_atom_site_fract_z
Cs1 0.0571 0.0571 0.6929
Cs2 0.3071 0.3071 0.9429
Cs3 0.6929 0.6929 0.0571
Cs4 0.9429 0.9429 0.3071
Mg1 0.1250 0.1250 0.1250
Mg2 0.8750 0.8750 0.8750
Si1 0.3750 0.3750 0.3750
Si2 0.6250 0.6250 0.6250
Te1 0.0069 0.6380 0.5522
Te2 0.3029 0.5522 0.6380
Te3 0.3620 0.9931 0.6971
Te4 0.4478 0.6971 0.9931
Te5 0.5522 0.3029 0.0069
Te6 0.6380 0.0069 0.3029
Te7 0.6971 0.4478 0.3620
Te8 0.9931 0.3620 0.4478


# AlCuBr2 (PBE-GGA, optimized geometry)
# Space group = No. 99
# Polymorph energy (0 for the lowest one) = 363.4 meV per atom
# Formation energy without anion corrections = -0.001 eV per atom
data_AlCuBr2
_chemical_formula_sum 'Al1 Cu1 Br2'
_cell_length_a 4.1044
_cell_length_b 4.1044
_cell_length_c 6.1211
_cell_angle_alpha 90.00
_cell_angle_beta 90.00
_cell_angle_gamma 90.00
_space_group_name_H-M_alt 'P 1'
_space_group_IT_number 1
loop_
_space_group_symop_operation_xyz
'x,y,z'
loop_
_atom_site_label
_atom_site_fract_x
_atom_site_fract_y
_atom_site_fract_z
Al1 0.0000 0.0000 0.0000
Cu1 0.5000 0.5000 0.5830
Br1 0.0000 0.0000 0.4992
Br2 0.5000 0.5000 0.9784


# MgGaSeN2 (PBE-GGA, optimized geometry)
# Space group = No. 123
# Polymorph energy (0 for the lowest one) = 376.1 meV per atom
# Formation energy without anion corrections = 1.094 eV per atom
data_MgGaSeN2
_chemical_formula_sum 'Mg1 Ga1 Se1 N2'
_cell_length_a 4.0925
_cell_length_b 4.0925
_cell_length_c 5.5978
_cell_angle_alpha 90.00
_cell_angle_beta 90.00
_cell_angle_gamma 90.00
_space_group_name_H-M_alt 'P 1'
_space_group_IT_number 1
loop_
_space_group_symop_operation_xyz
'x,y,z'
loop_
_atom_site_label
_atom_site_fract_x
_atom_site_fract_y
_atom_site_fract_z
Mg1 0.0000 0.0000 0.0000
Ga1 0.5000 0.5000 0.5000
Se1 0.0000 0.0000 0.5000
N1 0.0000 0.5000 0.0000
N2 0.5000 0.0000 0.0000


# YReHg2 (PBE-GGA, optimized geometry)
# Energy relative to the elements = 0.563 eV per atom
# Space group = No. 216
# Polymorph energy (0 for the lowest one) = 278.5 meV per atom
data_YReHg2
_chemical_formula_sum 'Y1 Re1 Hg2'
_cell_length_a 4.9442
_cell_length_b 4.9442
_cell_length_c 4.9442
_cell_angle_alpha 60.00
_cell_angle_beta 60.00
_cell_angle_gamma 60.00
_space_group_name_H-M_alt 'P 1'
_space_group_IT_number 1
loop_
_space_group_symop_operation_xyz
'x,y,z'
loop_
_atom_site_label
_atom_site_fract_x
_atom_site_fract_y
_atom_site_fract_z
Y1 0.0000 0.0000 0.0000
Re1 0.7500 0.7500 0.7500
Hg1 0.2500 0.2500 0.2500
Hg2 0.5000 0.5000 0.5000


# Ca2CoAuN (PBE-GGA, optimized geometry)
# Space group = No. 123
# Polymorph energy (0 for the lowest one) = 373.5 meV per atom
# Formation energy without anion corrections = -0.316 eV per atom
data_Ca2CoAuN
_chemical_formula_sum 'Ca2 Co1 Au1 N1'
_cell_length_a 5.4020
_cell_length_b 5.4020
_cell_length_c 3.4770
_cell_angle_alpha 90.00
_cell_angle_beta 90.00
_cell_angle_gamma 90.00
_space_group_name_H-M_alt 'P 1'
_space_group_IT_number 1
loop_
_space_group_symop_operation_xyz
'x,y,z'
loop_
_atom_site_label
_atom_site_fract_x
_atom_site_fract_y
_atom_site_fract_z
Ca1 0.0000 0.5000 0.0000
Ca2 0.5000 0.0000 0.0000
Co1 0.0000 0.0000 0.0000
Au1 0.5000 0.5000 0.5000
N1 0.0000 0.0000 0.5000


# CaRuSe2 (PBE-GGA, optimized geometry)
# Space group = No. 38
# Polymorph energy (0 for the lowest one) = 134.7 meV per atom
# Formation energy without anion corrections = -0.742 eV per atom
data_CaRuSe2
_chemical_formula_sum 'Ca1 Ru1 Se2'
_cell_length_a 4.5890
_cell_length_b 5.5593
_cell_length_c 5.5593
_cell_angle_alpha 41.27
_cell_angle_beta 90.00
_cell_angle_gamma 90.00
_space_group_name_H-M_alt 'P 1'
_space_group_IT_number 1
loop_
_space_group_symop_operation_xyz
'x,y,z'
loop_
_atom_site_label
_atom_site_fract_x
_atom_site_fract_y
_atom_site_fract_z
Ca1 0.0000 0.0000 0.0000
Ru1 0.5000 0.7840 0.7840
Se1 0.0000 0.7136 0.7136
Se2 0.5000 0.4246 0.4246


no.,DOS(E_F) (states/eV/atom)
1,1.4245
2,0.8376
3,0.3083
4,1.0893
5,0.4245
6,0.0000
7,0.1615
8,0.6534
9,1.4946
10,0.6560
11,0.6438